(1)
Mg4HgTe | GGA-PBE | relaxed

Cell: 8.3622 8.3622 8.3622 Å, 90.00 90.00 90.00°
Space group F-43m (No. 216)
Symmetry-distinct sites (fractional):
Mg 0.1247 0.1247 0.1247 (multiplicity 16)
Hg 0.0000 0.0000 0.5000 (multiplicity 4)
Te 0.2500 0.2500 0.7500 (multiplicity 4)

(2)
Mg2HgTe2 | GGA-PBE | relaxed

Energy above the most stable polymorph in this dataset in eV/atom: 0.190

Cell: 8.2878 8.2878 3.8244 Å, 90.00 90.00 90.00°
Space group P4/mbm (No. 127)
Symmetry-distinct sites (fractional):
Mg 0.1423 0.3577 0.0000 (multiplicity 4)
Hg 0.0000 0.0000 0.0000 (multiplicity 2)
Te 0.1573 0.6573 0.5000 (multiplicity 4)

(3)
Mg2HgTe | GGA-PBE | relaxed

Energy above the most stable polymorph in this dataset in eV/atom: 0.000

Cell: 7.4811 4.3070 6.8901 Å, 90.00 110.92 90.00°
Space group C2/m (No. 12)
Symmetry-distinct sites (fractional):
Mg 0.2456 0.0000 0.2340 (multiplicity 4)
Hg 0.0000 0.5000 0.0000 (multiplicity 2)
Te 0.0000 0.0000 0.5000 (multiplicity 2)

(4)
MgHgTe2 | GGA-PBE | relaxed

Energy above the most stable polymorph in this dataset in eV/atom: 0.324

Cell: 4.0774 4.0774 18.7539 Å, 90.00 90.00 90.00°
Space group I-4m2 (No. 119)
Symmetry-distinct sites (fractional):
Mg 0.0000 0.0000 0.0000 (multiplicity 2)
Hg 0.0000 0.5000 0.2500 (multiplicity 2)
Te 0.0000 0.0000 0.5000 (multiplicity 2)
Te 0.0000 0.5000 0.7500 (multiplicity 2)

(5)
MgHgTe2 | GGA-PBE | relaxed

Energy above the most stable polymorph in this dataset in eV/atom: 0.135

Cell: 5.8714 5.8775 6.7743 Å, 90.00 90.00 90.00°
Space group Amm2 (No. 38)
Symmetry-distinct sites (fractional):
Mg 0.0000 0.0000 0.0000 (multiplicity 2)
Hg 0.5000 0.0000 0.6525 (multiplicity 2)
Te 0.0000 0.0000 0.5721 (multiplicity 2)
Te 0.5000 0.0000 0.1000 (multiplicity 2)

(6)
Mg2HgTe | GGA-PBE | relaxed

Energy above the most stable polymorph in this dataset in eV/atom: 0.051

Cell: 4.1605 6.0164 4.1624 Å, 90.00 90.02 90.00°
Space group Pm (No. 6)
Symmetry-distinct sites (fractional):
Mg 0.0000 0.0000 0.0000 (multiplicity 1)
Mg 0.4480 0.5000 0.4981 (multiplicity 1)
Hg 0.9488 0.5000 0.9981 (multiplicity 1)
Te 0.4970 0.0000 0.4998 (multiplicity 1)

(7)
Mg2HgTe | GGA-PBE | relaxed

Energy above the most stable polymorph in this dataset in eV/atom: 0.085

Cell: 7.7205 7.7205 7.3178 Å, 90.00 90.00 90.00°
Space group I-42d (No. 122)
Symmetry-distinct sites (fractional):
Mg 0.2460 0.2500 0.1250 (multiplicity 8)
Hg 0.0000 0.0000 0.5000 (multiplicity 4)
Te 0.0000 0.0000 0.0000 (multiplicity 4)

(8)
MgHgTe2 | GGA-PBE | relaxed

Energy above the most stable polymorph in this dataset in eV/atom: 0.428

Cell: 4.2229 5.1464 10.2649 Å, 90.00 90.00 90.00°
Space group Cmm2 (No. 35)
Symmetry-distinct sites (fractional):
Mg 0.0000 0.0000 0.0000 (multiplicity 2)
Hg 0.0000 0.5000 0.1996 (multiplicity 2)
Te 0.0000 0.0000 0.4466 (multiplicity 2)
Te 0.0000 0.5000 0.8038 (multiplicity 2)

| no. | formation energy (no corrections) (eV/atom) | total moment (Bohr magnetons per cell) |
| --- | --- | --- |
| 1 | -0.014 | 0.00 |
| 2 | -0.428 | 0.00 |
| 3 | -0.373 | 0.00 |
| 4 | -0.189 | 0.00 |
| 5 | -0.378 | 0.00 |
| 6 | -0.322 | 0.00 |
| 7 | -0.288 | 0.00 |
| 8 | -0.085 | 0.00 |